Mg3W5 | GGA-PBE | relaxed

Total DFT energy (no corrections), eV/atom: -7.86
SG: No. 193
Calculated formation energy, meV/atom: 831
E above lowest polymorph, meV per atom: 391.0
DOS(E_F), states/eV/cell: 13.71

Unit cell a=8.112 b=8.112 c=4.898 alpha=90.00 beta=90.00 gamma=120.00
Positions (direct):
Mg 0.000 0.405 0.250
Mg 0.000 0.595 0.750
Mg 0.405 0.000 0.250
Mg 0.405 0.405 0.750
Mg 0.595 0.000 0.750
Mg 0.595 0.595 0.250
W 0.000 0.193 0.750
W 0.000 0.807 0.250
W 0.193 0.000 0.750
W 0.193 0.193 0.250
W 0.333 0.667 0.000
W 0.333 0.667 0.500
W 0.667 0.333 0.000
W 0.667 0.333 0.500
W 0.807 0.000 0.250
W 0.807 0.807 0.750

MgW2 | GGA-PBE | relaxed

Total DFT energy (no corrections), eV/atom: -8.34
SG: No. 74
Calculated formation energy, meV/atom: 824
E above lowest polymorph, meV per atom: 545.2
DOS(E_F), states/eV/cell: 4.61

Unit cell a=9.180 b=9.180 c=9.180 alpha=163.07 beta=149.96 gamma=34.68
Positions (direct):
Mg 0.375 0.125 0.250
Mg 0.625 0.875 0.750
W 0.067 0.317 0.750
W 0.213 0.463 0.750
W 0.787 0.537 0.250
W 0.933 0.683 0.250

MgW2 | GGA-PBE | relaxed

Total DFT energy (no corrections), eV/atom: -8.71
SG: No. 62
Calculated formation energy, meV/atom: 452
E above lowest polymorph, meV per atom: 172.8
DOS(E_F), states/eV/cell: 6.53

Unit cell a=5.449 b=4.492 c=8.250 alpha=90.00 beta=90.00 gamma=90.00
Positions (direct):
Mg 0.132 0.250 0.029
Mg 0.368 0.750 0.529
Mg 0.632 0.250 0.471
Mg 0.868 0.750 0.971
W 0.119 0.250 0.367
W 0.131 0.250 0.691
W 0.369 0.750 0.191
W 0.381 0.750 0.867
W 0.619 0.250 0.133
W 0.631 0.250 0.809
W 0.869 0.750 0.309
W 0.881 0.750 0.633

MgW4 | GGA-PBE | relaxed

Total DFT energy (no corrections), eV/atom: -8.15
SG: No. 221
Calculated formation energy, meV/atom: 2535
E above lowest polymorph, meV per atom: 2089.2
DOS(E_F), states/eV/cell: 4.89

Unit cell a=4.491 b=4.491 c=4.491 alpha=90.00 beta=90.00 gamma=90.00
Positions (direct):
Mg 0.000 0.000 0.000
W 0.000 0.000 0.500
W 0.000 0.500 0.000
W 0.500 0.000 0.000
W 0.500 0.500 0.500

Mg3W4 | GGA-PBE | relaxed

Total DFT energy (no corrections), eV/atom: -7.73
SG: No. 139
Calculated formation energy, meV/atom: 358
E above lowest polymorph, meV per atom: 0.0
DOS(E_F), states/eV/cell: 3.85

Unit cell a=11.732 b=11.732 c=11.732 alpha=163.74 beta=163.74 gamma=23.07
Positions (direct):
Mg 0.000 0.000 0.000
Mg 0.291 0.291 0.000
Mg 0.709 0.709 0.000
W 0.128 0.128 0.000
W 0.423 0.423 0.000
W 0.577 0.577 0.000
W 0.872 0.872 0.000

Mg2W | GGA-PBE | relaxed

Total DFT energy (no corrections), eV/atom: -4.60
SG: No. 227
Calculated formation energy, meV/atom: 780
E above lowest polymorph, meV per atom: 436.7
DOS(E_F), states/eV/cell: 4.70

Unit cell a=5.279 b=5.279 c=5.279 alpha=60.00 beta=60.00 gamma=60.00
Positions (direct):
Mg 0.000 0.000 0.000
Mg 0.000 0.000 0.500
Mg 0.000 0.500 0.000
Mg 0.500 0.000 0.000
W 0.375 0.375 0.375
W 0.625 0.625 0.625

MgW3 | GGA-PBE | relaxed

Total DFT energy (no corrections), eV/atom: -9.64
SG: No. 65
Calculated formation energy, meV/atom: 476
E above lowest polymorph, meV per atom: 246.6
DOS(E_F), states/eV/cell: 3.74

Unit cell a=5.253 b=5.253 c=2.687 alpha=90.00 beta=90.00 gamma=116.30
Positions (direct):
Mg 0.000 0.000 0.000
W 0.000 0.500 0.500
W 0.500 0.000 0.500
W 0.500 0.500 0.000

Mg2W | GGA-PBE | relaxed

Total DFT energy (no corrections), eV/atom: -5.03
SG: No. 62
Calculated formation energy, meV/atom: 347
E above lowest polymorph, meV per atom: 4.0
DOS(E_F), states/eV/cell: 4.70

Unit cell a=6.607 b=3.438 c=10.054 alpha=90.00 beta=90.00 gamma=90.00
Positions (direct):
Mg 0.136 0.250 0.077
Mg 0.139 0.250 0.756
Mg 0.361 0.750 0.256
Mg 0.364 0.750 0.577
Mg 0.636 0.250 0.423
Mg 0.639 0.250 0.744
Mg 0.861 0.750 0.244
Mg 0.864 0.750 0.923
W 0.088 0.250 0.429
W 0.412 0.750 0.929
W 0.588 0.250 0.071
W 0.912 0.750 0.571

Mg4W | GGA-PBE | relaxed

Total DFT energy (no corrections), eV/atom: -2.99
SG: No. 229
Calculated formation energy, meV/atom: 875
E above lowest polymorph, meV per atom: 0.0
DOS(E_F), states/eV/cell: 5.37

Unit cell a=5.646 b=5.646 c=5.646 alpha=109.47 beta=109.47 gamma=109.47
Positions (direct):
Mg 0.000 0.000 0.500
Mg 0.000 0.500 0.000
Mg 0.500 0.000 0.000
Mg 0.500 0.500 0.500
W 0.000 0.000 0.000

MgW | GGA-PBE | relaxed

Total DFT energy (no corrections), eV/atom: -6.83
SG: No. 63
Calculated formation energy, meV/atom: 449
E above lowest polymorph, meV per atom: 187.5
DOS(E_F), states/eV/cell: 3.44

Unit cell a=7.779 b=7.779 c=3.290 alpha=90.00 beta=90.00 gamma=156.25
Positions (direct):
Mg 0.086 0.914 0.750
Mg 0.914 0.086 0.250
W 0.291 0.709 0.750
W 0.709 0.291 0.250

MgW2 | GGA-PBE | relaxed

Total DFT energy (no corrections), eV/atom: -8.69
SG: No. 189
Calculated formation energy, meV/atom: 475
E above lowest polymorph, meV per atom: 195.6
DOS(E_F), states/eV/cell: 5.88

Unit cell a=8.038 b=8.038 c=2.672 alpha=90.00 beta=90.00 gamma=120.00
Positions (direct):
Mg 0.000 0.000 0.000
Mg 0.333 0.667 0.500
Mg 0.667 0.333 0.500
W 0.000 0.321 0.500
W 0.000 0.656 0.000
W 0.321 0.000 0.500
W 0.344 0.344 0.000
W 0.656 0.000 0.000
W 0.679 0.679 0.500

MgW | GGA-PBE | relaxed

Total DFT energy (no corrections), eV/atom: -6.84
SG: No. 129
Calculated formation energy, meV/atom: 438
E above lowest polymorph, meV per atom: 177.3
DOS(E_F), states/eV/cell: 1.69

Unit cell a=2.739 b=2.739 c=9.459 alpha=90.00 beta=90.00 gamma=90.00
Positions (direct):
Mg 0.250 0.250 0.139
Mg 0.750 0.750 0.861
W 0.250 0.250 0.622
W 0.750 0.750 0.378

MgW3 | GGA-PBE | relaxed

Total DFT energy (no corrections), eV/atom: -9.58
SG: No. 221
Calculated formation energy, meV/atom: 531
E above lowest polymorph, meV per atom: 300.9
DOS(E_F), states/eV/cell: 3.66

Unit cell a=4.035 b=4.035 c=4.035 alpha=90.00 beta=90.00 gamma=90.00
Positions (direct):
Mg 0.000 0.000 0.000
W 0.000 0.500 0.500
W 0.500 0.000 0.500
W 0.500 0.500 0.000

MgW2 | GGA-PBE | relaxed

Total DFT energy (no corrections), eV/atom: -8.67
SG: No. 63
Calculated formation energy, meV/atom: 501
E above lowest polymorph, meV per atom: 221.9
DOS(E_F), states/eV/cell: 3.20

Unit cell a=6.930 b=6.930 c=4.665 alpha=90.00 beta=90.00 gamma=152.06
Positions (direct):
Mg 0.076 0.924 0.750
Mg 0.924 0.076 0.250
W 0.244 0.756 0.250
W 0.396 0.604 0.750
W 0.604 0.396 0.250
W 0.756 0.244 0.750

MgW3 | GGA-PBE | relaxed

Total DFT energy (no corrections), eV/atom: -9.62
SG: No. 194
Calculated formation energy, meV/atom: 492
E above lowest polymorph, meV per atom: 262.1
DOS(E_F), states/eV/cell: 5.79

Unit cell a=5.789 b=5.789 c=4.666 alpha=90.00 beta=90.00 gamma=120.00
Positions (direct):
Mg 0.333 0.667 0.250
Mg 0.667 0.333 0.750
W 0.154 0.309 0.750
W 0.154 0.846 0.750
W 0.309 0.154 0.250
W 0.691 0.846 0.750
W 0.846 0.154 0.250
W 0.846 0.691 0.250

Mg5W3 | GGA-PBE | relaxed

Total DFT energy (no corrections), eV/atom: -5.07
SG: No. 193
Calculated formation energy, meV/atom: 781
E above lowest polymorph, meV per atom: 393.9
DOS(E_F), states/eV/cell: 11.61

Unit cell a=8.486 b=8.486 c=4.936 alpha=90.00 beta=90.00 gamma=120.00
Positions (direct):
Mg 0.000 0.231 0.250
Mg 0.000 0.769 0.750
Mg 0.231 0.000 0.250
Mg 0.231 0.231 0.750
Mg 0.333 0.667 0.000
Mg 0.333 0.667 0.500
Mg 0.667 0.333 0.000
Mg 0.667 0.333 0.500
Mg 0.769 0.000 0.750
Mg 0.769 0.769 0.250
W 0.000 0.427 0.750
W 0.000 0.573 0.250
W 0.427 0.000 0.750
W 0.427 0.427 0.250
W 0.573 0.000 0.250
W 0.573 0.573 0.750

Mg2W | GGA-PBE | relaxed

Total DFT energy (no corrections), eV/atom: -4.49
SG: No. 194
Calculated formation energy, meV/atom: 892
E above lowest polymorph, meV per atom: 548.6
DOS(E_F), states/eV/cell: 5.49

Unit cell a=4.749 b=4.749 c=5.610 alpha=90.00 beta=90.00 gamma=120.00
Positions (direct):
Mg 0.000 0.000 0.000
Mg 0.000 0.000 0.500
Mg 0.333 0.667 0.250
Mg 0.667 0.333 0.750
W 0.333 0.667 0.750
W 0.667 0.333 0.250

Mg6W7 | GGA-PBE | relaxed

Total DFT energy (no corrections), eV/atom: -7.28
SG: No. 166
Calculated formation energy, meV/atom: 434
DOS(E_F), states/eV/cell: 9.04

Unit cell a=10.274 b=10.274 c=10.274 alpha=30.23 beta=30.23 gamma=30.23
Positions (direct):
Mg 0.050 0.050 0.050
Mg 0.152 0.152 0.152
Mg 0.333 0.333 0.333
Mg 0.667 0.667 0.667
Mg 0.848 0.848 0.848
Mg 0.950 0.950 0.950
W 0.094 0.589 0.589
W 0.411 0.411 0.906
W 0.411 0.906 0.411
W 0.500 0.500 0.500
W 0.589 0.094 0.589
W 0.589 0.589 0.094
W 0.906 0.411 0.411

MgW | GGA-PBE | relaxed

Total DFT energy (no corrections), eV/atom: -6.15
SG: No. 87
Calculated formation energy, meV/atom: 1120
E above lowest polymorph, meV per atom: 859.1
DOS(E_F), states/eV/cell: 5.75

Unit cell a=8.334 b=8.334 c=8.334 alpha=91.86 beta=91.86 gamma=159.26
Positions (direct):
Mg 0.043 0.179 0.223
Mg 0.179 0.957 0.136
Mg 0.821 0.043 0.864
Mg 0.957 0.821 0.777
W 0.179 0.710 0.888
W 0.290 0.179 0.469
W 0.710 0.821 0.531
W 0.821 0.290 0.112

MgW | GGA-PBE | relaxed

Total DFT energy (no corrections), eV/atom: -6.61
SG: No. 194
Calculated formation energy, meV/atom: 666
E above lowest polymorph, meV per atom: 405.1
DOS(E_F), states/eV/cell: 5.79

Unit cell a=4.349 b=4.349 c=9.752 alpha=90.00 beta=90.00 gamma=120.00
Positions (direct):
Mg 0.333 0.667 0.077
Mg 0.333 0.667 0.423
Mg 0.667 0.333 0.577
Mg 0.667 0.333 0.923
W 0.000 0.000 0.250
W 0.000 0.000 0.750
W 0.333 0.667 0.750
W 0.667 0.333 0.250

| no. | total magnetic moment (μB/f.u.) |
| --- | --- |
| 1 | 0.00 |
| 2 | 0.00 |
| 3 | 0.00 |
| 4 | 0.00 |
| 5 | 0.00 |
| 6 | 0.00 |
| 7 | 0.00 |
| 8 | 0.00 |
| 9 | 3.36 |
| 10 | 0.00 |
| 11 | 0.00 |
| 12 | 0.00 |
| 13 | 0.00 |
| 14 | 0.00 |
| 15 | 0.00 |
| 16 | 0.00 |
| 17 | 1.08 |
| 18 | 0.00 |
| 19 | 0.00 |
| 20 | 0.00 |